(1)
SbIrI2N PBE optimized geometry; uncorrected energy = -4.38 eV/atom; ΔE_f (raw) = 2.52 eV per formula unit; M_tot = 0.000 μB per formula unit; N(E_F) = 3.8 states/eV per cell; energy above the lowest structure with this stoichiometry = 0.0000 eV/atom
1.0
-4.362 3.736 0.303
-1.423 -2.081 5.170
2.240 2.484 1.617
I Sb Ir N
2 1 1 1
Direct
0.000 0.500 0.000
0.500 0.000 0.000
0.500 0.500 0.500
0.000 0.000 0.000
0.000 0.000 0.500



(2)
CaAgAs2Pd5 PBE optimized geometry; formation enthalpy at 0 K = -399 meV/atom; uncorrected energy = -4.86 eV/atom; M_tot = 0.000 μB per formula unit; N(E_F) = 2.4 states/eV per cell
1.0
4.587 0.000 0.000
0.000 4.587 0.000
0.000 0.000 7.818
Ca Ag As Pd
1 1 2 5
Direct
0.000 0.000 0.500
0.000 0.000 0.000
0.500 0.500 0.160
0.500 0.500 0.840
0.000 0.500 0.261
0.500 0.000 0.261
0.000 0.500 0.739
0.500 0.000 0.739
0.500 0.500 0.500